# PmMoH2O6

PmMoH2O6 after structural relaxation (PBE with a Hubbard U, the Alexandria database).

```
data_PmMoH2O6
_chemical_formula_sum 'Pm1 Mo1 H2 O6'
_cell_length_a 5.0661
_cell_length_b 5.1914
_cell_length_c 6.0789
_cell_angle_alpha 91.05
_cell_angle_beta 116.37
_cell_angle_gamma 117.92
_space_group_name_H-M_alt 'P 1'
_space_group_IT_number 1
loop_
_space_group_symop_operation_xyz
'x,y,z'
loop_
_atom_site_label
_atom_site_type_symbol
_atom_site_fract_x
_atom_site_fract_y
_atom_site_fract_z
O1 O 0.0415 0.1543 0.7293
O2 O 0.4247 0.0300 0.1844
O3 O 0.7705 0.7361 0.1777
O4 O 0.1245 0.3397 0.2139
O5 O 0.7889 0.5747 0.7565
O6 O 0.5250 0.9386 0.7613
H1 H 0.6094 0.7912 0.1813
H2 H 0.6868 0.3957 0.8126
Mo1 Mo 0.0169 0.0156 0.0004
Pm1 Pm 0.9774 0.5018 0.4852
```

Properties
**SG**: No. 1
**Uncorrected energy**: -6.5227 eV/atom
**Total magnetic moment**: 1.02 μB/cell